No. 1
Entry from Alexandria via LeMat-Bulk: Sr2CaTi3O9 at its PBEsol-relaxed geometry (SCAN).

Structure (CIF):
```
data_Sr2CaTi3O9
_symmetry_space_group_name_H-M 'P 1'
_symmetry_Int_Tables_number 1
_cell_length_a 5.490
_cell_length_b 9.471
_cell_length_c 13.419
_cell_angle_alpha 89.71
_cell_angle_beta 90.06
_cell_angle_gamma 90.05
loop_
_symmetry_equiv_pos_as_xyz
'x,y,z'
loop_
_atom_site_label
_atom_site_fract_x
_atom_site_fract_y
_atom_site_fract_z
_atom_site_occupancy
Sr1 0.986 0.834 0.584 1
Sr2 0.986 0.165 0.915 1
Sr3 0.506 0.669 0.916 1
Sr4 0.509 0.000 0.251 1
Sr5 0.506 0.333 0.585 1
Sr6 0.009 0.502 0.752 1
Sr7 0.011 0.836 0.085 1
Sr8 0.010 0.168 0.418 1
Ca1 0.464 0.335 0.086 1
Ca2 0.468 0.669 0.419 1
Ca3 0.471 0.002 0.753 1
Ca4 0.962 0.499 0.249 1
Ti1 0.990 0.502 0.497 1
Ti2 0.991 0.836 0.833 1
Ti3 0.988 0.171 0.167 1
Ti4 0.493 0.001 0.502 1
Ti5 0.493 0.335 0.837 1
Ti6 0.490 0.666 0.170 1
Ti7 0.991 0.166 0.668 1
Ti8 0.988 0.498 0.004 1
Ti9 0.991 0.830 0.334 1
Ti10 0.493 0.670 0.667 1
Ti11 0.494 0.003 0.003 1
Ti12 0.490 0.338 0.335 1
O1 0.731 0.932 0.896 1
O2 0.726 0.268 0.227 1
O3 0.732 0.599 0.561 1
O4 0.239 0.243 0.760 1
O5 0.228 0.571 0.102 1
O6 0.240 0.904 0.429 1
O7 0.270 0.105 0.578 1
O8 0.273 0.440 0.914 1
O9 0.278 0.775 0.247 1
O10 0.783 0.396 0.412 1
O11 0.775 0.732 0.748 1
O12 0.775 0.064 0.082 1
O13 0.279 0.404 0.433 1
O14 0.270 0.737 0.763 1
O15 0.273 0.072 0.098 1
O16 0.775 0.087 0.570 1
O17 0.776 0.420 0.904 1
O18 0.782 0.752 0.235 1
O19 0.731 0.217 0.753 1
O20 0.725 0.546 0.088 1
O21 0.733 0.882 0.419 1
O22 0.240 0.933 0.915 1
O23 0.228 0.279 0.248 1
O24 0.240 0.603 0.579 1
O25 0.033 0.986 0.736 1
O26 0.029 0.316 0.066 1
O27 0.032 0.645 0.395 1
O28 0.500 0.854 0.604 1
O29 0.497 0.186 0.936 1
O30 0.511 0.523 0.273 1
O31 0.990 0.348 0.597 1
O32 0.991 0.681 0.933 1
O33 0.992 0.016 0.264 1
O34 0.516 0.487 0.736 1
O35 0.513 0.817 0.069 1
O36 0.513 0.152 0.401 1
```

Calculated values
Space-group type: P1 (1)
Raw total energy in eV/atom: -14.01
Formation energy from raw total energies in meV per atom: -3451

No. 2
Entry from Alexandria via LeMat-Bulk: Sr2NiOsPd at its PBEsol-relaxed geometry (SCAN).

Structure (CIF):
```
data_Sr2NiOsPd
_symmetry_space_group_name_H-M 'P 1'
_symmetry_Int_Tables_number 1
_cell_length_a 4.359
_cell_length_b 5.649
_cell_length_c 5.649
_cell_angle_alpha 90.00
_cell_angle_beta 90.00
_cell_angle_gamma 90.00
loop_
_symmetry_equiv_pos_as_xyz
'x,y,z'
loop_
_atom_site_label
_atom_site_fract_x
_atom_site_fract_y
_atom_site_fract_z
_atom_site_occupancy
Sr1 0.000 0.000 0.500 1
Sr2 0.000 0.500 0.000 1
Os1 0.000 0.000 0.000 1
Pd1 0.500 0.500 0.500 1
Ni1 0.500 0.000 0.000 1
```

Calculated values
Space-group type: P4/mmm (123)
Raw total energy in eV/atom: -32.39
ΔE_f in eV per atom: 0.69

No. 3
Entry from Alexandria via LeMat-Bulk: LiMg2Zn at its PBEsol-relaxed geometry (SCAN).

Structure (CIF):
```
data_LiMg2Zn
_symmetry_space_group_name_H-M 'P 1'
_symmetry_Int_Tables_number 1
_cell_length_a 3.312
_cell_length_b 3.312
_cell_length_c 6.601
_cell_angle_alpha 90.00
_cell_angle_beta 90.00
_cell_angle_gamma 90.00
loop_
_symmetry_equiv_pos_as_xyz
'x,y,z'
loop_
_atom_site_label
_atom_site_fract_x
_atom_site_fract_y
_atom_site_fract_z
_atom_site_occupancy
Zn1 0.500 0.500 0.000 1
Mg1 0.000 0.000 0.759 1
Mg2 0.000 0.000 0.241 1
Li1 0.500 0.500 0.500 1
```

Calculated values
Space-group type: P4/mmm (123)
Raw total energy in eV/atom: -6.59
ΔE_f in eV per atom: -0.12

No. 4
Entry from Alexandria via LeMat-Bulk: YSc3 at its PBEsol-relaxed geometry (SCAN).

Structure (CIF):
```
data_YSc3
_symmetry_space_group_name_H-M 'P 1'
_symmetry_Int_Tables_number 1
_cell_length_a 3.355
_cell_length_b 5.196
_cell_length_c 5.803
_cell_angle_alpha 90.00
_cell_angle_beta 90.00
_cell_angle_gamma 90.00
loop_
_symmetry_equiv_pos_as_xyz
'x,y,z'
loop_
_atom_site_label
_atom_site_fract_x
_atom_site_fract_y
_atom_site_fract_z
_atom_site_occupancy
Y1 0.000 0.500 0.335 1
Sc1 0.000 0.000 0.995 1
Sc2 0.500 0.000 0.506 1
Sc3 0.500 0.500 0.831 1
```

Calculated values
Space-group type: Pmm2 (25)
Raw total energy in eV/atom: -17.61
ΔE_f in eV per atom: 0.03

No. 5
Entry from Alexandria via LeMat-Bulk: Si2HCl at its PBEsol-relaxed geometry (SCAN).

Structure (CIF):
```
data_Si2HCl
_symmetry_space_group_name_H-M 'P 1'
_symmetry_Int_Tables_number 1
_cell_length_a 4.330
_cell_length_b 4.330
_cell_length_c 4.330
_cell_angle_alpha 60.00
_cell_angle_beta 60.00
_cell_angle_gamma 60.00
loop_
_symmetry_equiv_pos_as_xyz
'x,y,z'
loop_
_atom_site_label
_atom_site_fract_x
_atom_site_fract_y
_atom_site_fract_z
_atom_site_occupancy
H1 0.000 0.000 0.000 1
Si1 0.250 0.250 0.250 1
Si2 0.750 0.750 0.750 1
Cl1 0.500 0.500 0.500 1
```

Calculated values
Space-group type: Fm-3m (225)
Raw total energy in eV/atom: -6.63

No. 6
Entry from Alexandria via LeMat-Bulk: Ho2TlHg at its PBEsol-relaxed geometry (SCAN).

Structure (CIF):
```
data_Ho2TlHg
_symmetry_space_group_name_H-M 'P 1'
_symmetry_Int_Tables_number 1
_cell_length_a 5.193
_cell_length_b 5.193
_cell_length_c 5.193
_cell_angle_alpha 60.00
_cell_angle_beta 60.00
_cell_angle_gamma 60.00
loop_
_symmetry_equiv_pos_as_xyz
'x,y,z'
loop_
_atom_site_label
_atom_site_fract_x
_atom_site_fract_y
_atom_site_fract_z
_atom_site_occupancy
Tl1 0.500 0.500 0.500 1
Hg1 0.000 0.000 0.000 1
Ho1 0.250 0.250 0.250 1
Ho2 0.750 0.750 0.750 1
```

Calculated values
Space-group type: Fm-3m (225)
Raw total energy in eV/atom: -60.24
ΔE_f in eV per atom: -0.61

No. 7
Entry from Alexandria via LeMat-Bulk: Ir3Se at its PBEsol-relaxed geometry (SCAN).

Structure (CIF):
```
data_Ir3Se
_symmetry_space_group_name_H-M 'P 1'
_symmetry_Int_Tables_number 1
_cell_length_a 3.890
_cell_length_b 3.890
_cell_length_c 3.890
_cell_angle_alpha 90.00
_cell_angle_beta 90.00
_cell_angle_gamma 90.00
loop_
_symmetry_equiv_pos_as_xyz
'x,y,z'
loop_
_atom_site_label
_atom_site_fract_x
_atom_site_fract_y
_atom_site_fract_z
_atom_site_occupancy
Ir1 0.000 0.500 0.500 1
Ir2 0.500 0.000 0.500 1
Ir3 0.500 0.500 0.000 1
Se1 0.000 0.000 0.000 1
```

Calculated values
Space-group type: Pm-3m (221)
Raw total energy in eV/atom: -57.72
Formation energy from raw total energies in meV per atom: 622

No. 8
Entry from Alexandria via LeMat-Bulk: Sc2MnMo at its PBEsol-relaxed geometry (SCAN).

Structure (CIF):
```
data_Sc2MnMo
_symmetry_space_group_name_H-M 'P 1'
_symmetry_Int_Tables_number 1
_cell_length_a 3.144
_cell_length_b 4.649
_cell_length_c 5.422
_cell_angle_alpha 115.39
_cell_angle_beta 106.85
_cell_angle_gamma 90.00
loop_
_symmetry_equiv_pos_as_xyz
'x,y,z'
loop_
_atom_site_label
_atom_site_fract_x
_atom_site_fract_y
_atom_site_fract_z
_atom_site_occupancy
Sc1 0.992 0.992 0.984 1
Sc2 0.774 0.274 0.549 1
Mo1 0.209 0.709 0.419 1
Mn1 0.524 0.524 0.048 1
```

Calculated values
Space-group type: Imm2 (44)
Raw total energy in eV/atom: -20.34
ΔE_f in eV per atom: 0.06